Entry 1:
A plane-wave DFT calculation with PBE-GGA was carried out for a geometry-optimized NdPa2PN6 structure.

DFT total energy   -8.79 eV per atom
E_form (uncorrected)   -8.82 eV per formula unit

a = 5.259 Å, b = 5.259 Å, c = 5.230 Å
α = 90.00°, β = 90.00°, γ = 90.00°
Space group P4mm (No. 99)
One atom of each set of equivalent atoms:
Nd 0.000 0.000 0.000 [1 per cell]
Pa 0.000 0.500 0.452 [2 per cell]
P 0.500 0.500 0.077 [1 per cell]
N 0.000 0.000 0.554 [1 per cell]
N 0.279 0.279 0.205 [4 per cell]
N 0.500 0.500 0.754 [1 per cell]



Entry 2:
A plane-wave DFT calculation with PBE-GGA was carried out for a geometry-optimized RbMg2In2 structure.

DFT total energy   -1.95 eV per atom
E_form   -0.135 eV per formula unit
Polymorph energy (0 for the lowest one)   19 meV/atom

a = 5.037 Å, b = 5.037 Å, c = 12.610 Å
α = 90.00°, β = 90.00°, γ = 90.00°
Space group I4/mmm (No. 139)
One atom of each set of equivalent atoms:
Rb 0.000 0.000 0.000 [2 per cell]
Mg 0.000 0.500 0.250 [4 per cell]
In 0.000 0.000 0.382 [4 per cell]



Entry 3:
A plane-wave DFT calculation with PBE-GGA was carried out for a geometry-optimized EuGdDy4 structure.

DFT total energy   -6.88 eV per atom
E_form   1.496 eV per formula unit

a = 9.458 Å, b = 9.458 Å, c = 9.458 Å
α = 90.00°, β = 90.00°, γ = 90.00°
Space group F-43m (No. 216)
One atom of each set of equivalent atoms:
Eu 0.000 0.000 0.000 [4 per cell]
Gd 0.250 0.250 0.750 [4 per cell]
Dy 0.124 0.124 0.376 [16 per cell]



Entry 4:
A plane-wave DFT calculation with PBE-GGA was carried out for a geometry-optimized B5C7 structure.

DFT total energy   -7.75 eV per atom
E_form   4.931 eV per formula unit
Polymorph energy (0 for the lowest one)   153 meV/atom

a = 12.266 Å, b = 2.510 Å, c = 5.226 Å
α = 90.00°, β = 101.95°, γ = 90.00°
Space group Cm (No. 8)
One atom of each set of equivalent atoms:
B 0.000 0.000 0.000 [2 per cell]
B 0.002 0.000 0.431 [2 per cell]
B 0.155 0.500 0.799 [2 per cell]
B 0.310 0.000 0.623 [2 per cell]
B 0.409 0.500 0.687 [2 per cell]
C 0.085 0.500 0.027 [2 per cell]
C 0.087 0.500 0.500 [2 per cell]
C 0.164 0.500 0.297 [2 per cell]
C 0.240 0.000 0.333 [2 per cell]
C 0.250 0.000 0.860 [2 per cell]
C 0.321 0.000 0.135 [2 per cell]
C 0.396 0.500 0.178 [2 per cell]



Entry 5:
A plane-wave DFT calculation with PBE-GGA was carried out for a geometry-optimized PmNd2DyHo4 structure.

DFT total energy   -4.23 eV per atom
E_form   3.340 eV per formula unit

a = 13.667 Å, b = 13.278 Å, c = 6.820 Å
α = 90.00°, β = 119.92°, γ = 90.00°
Space group C2/c (No. 15)
One atom of each set of equivalent atoms:
Pm 0.250 0.250 0.000 [4 per cell]
Nd 0.000 0.000 0.000 [4 per cell]
Nd 0.250 0.250 0.500 [4 per cell]
Dy 0.000 0.500 0.000 [4 per cell]
Ho 0.000 0.253 0.000 [8 per cell]
Ho 0.247 0.500 0.495 [8 per cell]



Entry 6:
A plane-wave DFT calculation with PBE-GGA was carried out for a geometry-optimized LiReAs2 structure.

DFT total energy   -6.01 eV per atom
E_form   -0.386 eV per formula unit
Polymorph energy (0 for the lowest one)   91 meV/atom

a = 3.134 Å, b = 3.242 Å, c = 13.717 Å
α = 90.00°, β = 90.00°, γ = 90.00°
Space group Imm2 (No. 44)
One atom of each set of equivalent atoms:
Li 0.000 0.000 0.000 [2 per cell]
Re 0.000 0.500 0.746 [2 per cell]
As 0.000 0.000 0.386 [2 per cell]
As 0.000 0.500 0.155 [2 per cell]



Entry 7:
A plane-wave DFT calculation with PBE-GGA was carried out for a geometry-optimized BaPtAu3 structure.

DFT total energy   -2.18 eV per atom
E_form   6.872 eV per formula unit
Polymorph energy (0 for the lowest one)   1831 meV/atom

a = 5.907 Å, b = 5.907 Å, c = 5.907 Å
α = 90.00°, β = 90.00°, γ = 90.00°
Space group Pm-3m (No. 221)
One atom of each set of equivalent atoms:
Ba 0.000 0.000 0.000 [1 per cell]
Pt 0.500 0.500 0.500 [1 per cell]
Au 0.000 0.000 0.500 [3 per cell]



Entry 8:
A plane-wave DFT calculation with PBE-GGA was carried out for a geometry-optimized Li5B8C8 structure.

DFT total energy   -6.65 eV per atom
E_form   -2.794 eV per formula unit
Polymorph energy (0 for the lowest one)   12 meV/atom

a = 2.730 Å, b = 4.671 Å, c = 14.669 Å
α = 98.50°, β = 94.94°, γ = 90.05°
Space group P1 (No. 1)
One atom of each set of equivalent atoms:
Li 0.000 0.000 0.000 [1 per cell]
Li 0.123 0.130 0.248 [1 per cell]
Li 0.249 0.252 0.501 [1 per cell]
Li 0.500 0.500 0.000 [1 per cell]
Li 0.875 0.871 0.751 [1 per cell]
B 0.060 0.724 0.126 [1 per cell]
B 0.183 0.527 0.375 [1 per cell]
B 0.310 0.948 0.618 [1 per cell]
B 0.442 0.774 0.879 [1 per cell]
B 0.558 0.226 0.121 [1 per cell]
B 0.685 0.020 0.375 [1 per cell]
B 0.817 0.454 0.633 [1 per cell]
B 0.940 0.276 0.874 [1 per cell]
C 0.061 0.387 0.119 [1 per cell]
C 0.189 0.865 0.375 [1 per cell]
C 0.313 0.616 0.632 [1 per cell]
C 0.437 0.110 0.876 [1 per cell]
C 0.563 0.890 0.124 [1 per cell]
C 0.689 0.364 0.375 [1 per cell]
C 0.807 0.110 0.618 [1 per cell]
C 0.939 0.613 0.881 [1 per cell]



Entry 9:
A plane-wave DFT calculation with PBE-GGA was carried out for a geometry-optimized LaScZn structure.

DFT total energy   -4.30 eV per atom
E_form   -0.353 eV per formula unit
Polymorph energy (0 for the lowest one)   86 meV/atom

a = 12.049 Å, b = 4.427 Å, c = 5.898 Å
α = 90.00°, β = 93.70°, γ = 90.00°
Space group Cm (No. 8)
One atom of each set of equivalent atoms:
La 0.000 0.000 0.000 [2 per cell]
La 0.084 0.500 0.516 [2 per cell]
Sc 0.282 0.000 0.815 [2 per cell]
Sc 0.360 0.500 0.463 [2 per cell]
Zn 0.206 0.500 0.039 [2 per cell]
Zn 0.251 0.000 0.286 [2 per cell]



Q: Which formula does entry 9 have?
A: LaScZn



Q: DFT total energy of number 6 (LiReAs2)?
A: -6.01 eV per atom



Q: What is the formula in the fifth record?
A: PmNd2DyHo4